[1]
# Nd8Tl2In3 (GGA-PBE, relaxed)
# E_form ... -0.186 eV/atom
# Mass density ... 7.436 g/cm3
# Electronic total energy ... -4.12 eV/atom
data_Nd8Tl2In3
_chemical_formula_sum 'Nd16 Tl4 In6'
_symmetry_space_group_name_H-M 'C 1 2/m 1'
_symmetry_Int_Tables_number 12
_cell_length_a 16.690
_cell_length_b 8.919
_cell_length_c 5.722
_cell_angle_alpha 90.00
_cell_angle_beta 90.02
_cell_angle_gamma 90.00
loop_
_symmetry_equiv_pos_as_xyz
'x,y,z'
'-x,-y,-z'
'-x,y,-z'
'x,-y,z'
'x+1/2,y+1/2,z'
'-x+1/2,-y+1/2,-z'
'-x+1/2,y+1/2,-z'
'x+1/2,-y+1/2,z'
loop_
_atom_site_label
_atom_site_type_symbol
_atom_site_fract_x
_atom_site_fract_y
_atom_site_fract_z
Nd1 Nd 0.104 0.000 0.000
Nd2 Nd 0.114 0.291 0.500
Nd3 Nd 0.187 0.500 0.001
Tl1 Tl 0.224 0.000 0.499
In1 In 0.000 0.000 0.500
In2 In 0.000 0.330 0.000


[2]
# Nd12Tl3In (GGA-PBE, relaxed)
# E_form ... -0.225 eV/atom
# Mass density ... 8.197 g/cm3
# Electronic total energy ... -4.42 eV/atom
data_Nd12Tl3In
_chemical_formula_sum 'Nd12 Tl3 In1'
_symmetry_space_group_name_H-M 'P 4/m m m'
_symmetry_Int_Tables_number 123
_symmetry_space_group_name_Hall '-P 4 2'
_cell_length_a 4.990
_cell_length_b 4.990
_cell_length_c 20.002
_cell_angle_alpha 90.00
_cell_angle_beta 90.00
_cell_angle_gamma 90.00
loop_
_atom_site_label
_atom_site_type_symbol
_atom_site_fract_x
_atom_site_fract_y
_atom_site_fract_z
Nd1 Nd 0.000 0.000 0.000
Nd2 Nd 0.000 0.000 0.250
Nd3 Nd 0.000 0.000 0.500
Nd4 Nd 0.000 0.500 0.124
Nd5 Nd 0.000 0.500 0.375
Tl1 Tl 0.500 0.500 0.250
Tl2 Tl 0.500 0.500 0.500
In1 In 0.500 0.500 0.000


[3]
# Nd4TlIn2 (GGA-PBE, relaxed)
# E_form ... -0.313 eV/atom
# Excess energy over the best structure of this formula in the dataset ... 0 meV per atom
# Mass density ... 7.368 g/cm3
# Electronic total energy ... -4.16 eV/atom
data_Nd4TlIn2
_chemical_formula_sum 'Nd8 Tl2 In4'
_symmetry_space_group_name_H-M 'I 4/m m m'
_symmetry_Int_Tables_number 139
_symmetry_space_group_name_Hall '-I 4 2'
_cell_length_a 7.725
_cell_length_b 7.725
_cell_length_c 7.636
_cell_angle_alpha 90.00
_cell_angle_beta 90.00
_cell_angle_gamma 90.00
loop_
_atom_site_label
_atom_site_type_symbol
_atom_site_fract_x
_atom_site_fract_y
_atom_site_fract_z
Nd1 Nd 0.250 0.250 0.250
Tl1 Tl 0.000 0.000 0.000
In1 In 0.000 0.500 0.000


[4]
# NdTl2In (GGA-PBE, relaxed)
# E_form ... -0.178 eV/atom
# Mass density ... 9.716 g/cm3
# Electronic total energy ... -3.24 eV/atom
data_NdTl2In
_chemical_formula_sum 'Nd1 Tl2 In1'
_symmetry_space_group_name_H-M 'P 4/m m m'
_symmetry_Int_Tables_number 123
_symmetry_space_group_name_Hall '-P 4 2'
_cell_length_a 3.944
_cell_length_b 3.944
_cell_length_c 7.337
_cell_angle_alpha 90.00
_cell_angle_beta 90.00
_cell_angle_gamma 90.00
loop_
_atom_site_label
_atom_site_type_symbol
_atom_site_fract_x
_atom_site_fract_y
_atom_site_fract_z
Nd1 Nd 0.000 0.000 0.000
Tl1 Tl 0.500 0.500 0.266
In1 In 0.000 0.000 0.500


> What is the formula in the third record?

Nd4TlIn2